A geometry-optimized Mo4Rh4N structure, computed with PBE.

Cell: 7.8410 7.8410 4.6291 Å, 90.00 90.00 90.00°
Space group I4/m (No. 87)
One atom of each set of equivalent atoms:
Mo 0.0105 0.2568 0.0000 x8
Rh 0.1434 0.2107 0.5000 x8
N 0.0000 0.0000 0.0000 x2

Uncorrected energy in eV/atom: -8.70